5
Lattice="5.5873 0.0000 0.0000 0.0000 5.5873 0.0000 0.0000 0.0000 5.3767" Properties=species:S:1:pos:R:3 comment="PBE La2ScAlCd, optimized geometry" spacegroup="P4/mmm (123)" pbc="T T T"
La 0.0000 2.7937 0.0000
La 2.7937 0.0000 0.0000
Sc 0.0000 0.0000 0.0000
Al 2.7937 2.7937 2.6884
Cd 0.0000 0.0000 2.6884

***

5
Lattice="5.9122 0.0000 0.0000 0.0000 5.9122 0.0000 0.0000 0.0000 6.6205" Properties=species:S:1:pos:R:3 comment="PBE SrLaAlCd2, optimized geometry" spacegroup="P4/mmm (123)" pbc="T T T"
Sr 0.0000 0.0000 0.0000
La 0.0000 0.0000 3.3103
Al 2.9561 2.9561 0.0000
Cd 0.0000 2.9561 3.3103
Cd 2.9561 0.0000 3.3103

***

4
Lattice="0.0000 3.7929 3.7929 3.7929 0.0000 3.7929 3.7929 3.7929 0.0000" Properties=species:S:1:pos:R:3 comment="PBE LaTbAlCd, optimized geometry" e_above_lowest_polymorph_kj_per_mol_fu=11 spacegroup="F-43m (216)" pbc="T T T"
La 0.0000 0.0000 0.0000
Tb 3.7929 3.7929 3.7929
Al 1.8964 1.8964 1.8964
Cd 5.6893 5.6893 5.6893

***

4
Lattice="3.6496 0.0000 0.0000 0.0000 3.6496 0.0000 0.0000 0.0000 8.0594" Properties=species:S:1:pos:R:3 comment="PBE LaTbAlCd, optimized geometry" e_above_lowest_polymorph_kj_per_mol_fu=0 spacegroup="P4mm (99)" pbc="T T T"
La 0.0000 0.0000 0.0000
Tb 0.0000 0.0000 3.7858
Al 1.8248 1.8248 2.0018
Cd 1.8248 1.8248 5.7380

***

4
Lattice="0.0000 3.8253 3.8253 3.8253 0.0000 3.8253 3.8253 3.8253 0.0000" Properties=species:S:1:pos:R:3 comment="PBE LaThAlCd, optimized geometry" spacegroup="F-43m (216)" pbc="T T T"
La 0.0000 0.0000 0.0000
Th 3.8253 3.8253 3.8253
Al 1.9126 1.9126 1.9126
Cd 5.7379 5.7379 5.7379

***

8
Lattice="2.7685 1.5984 9.0703 -2.7685 1.5984 9.0703 0.0000 -3.1968 9.0703" Properties=species:S:1:pos:R:3 comment="PBE La4AlTlCd2, optimized geometry" spacegroup="R-3m (166)" pbc="T T T"
La 0.0000 0.0000 3.3058
La 0.0000 0.0000 10.1049
La 0.0000 0.0000 17.1059
La 0.0000 0.0000 23.9050
Al 0.0000 0.0000 0.0000
Tl 0.0000 0.0000 13.6054
Cd 0.0000 0.0000 6.7793
Cd 0.0000 0.0000 20.4314

***

5
Lattice="5.8716 0.0000 0.0000 0.0000 5.8716 0.0000 0.0000 0.0000 5.6405" Properties=species:S:1:pos:R:3 comment="PBE LaAlVCd2, optimized geometry" spacegroup="P4/mmm (123)" pbc="T T T"
La 0.0000 0.0000 0.0000
Al 0.0000 0.0000 2.8203
V 2.9358 2.9358 2.8203
Cd 0.0000 2.9358 0.0000
Cd 2.9358 0.0000 0.0000

***

4
Lattice="0.0000 3.5621 3.5621 3.5621 0.0000 3.5621 3.5621 3.5621 0.0000" Properties=species:S:1:pos:R:3 comment="PBE LaAlZnCd, optimized geometry" spacegroup="F-43m (216)" pbc="T T T"
La 0.0000 0.0000 0.0000
Al 5.3432 5.3432 5.3432
Zn 1.7811 1.7811 1.7811
Cd 3.5621 3.5621 3.5621

***

10
Lattice="4.3871 0.0000 0.0000 0.0000 4.3871 0.0000 0.0000 0.0000 10.8519" Properties=species:S:1:pos:R:3 comment="PBE La2Al3Zn4Cd, optimized geometry" spacegroup="P-4m2 (115)" pbc="T T T"
La 0.0000 2.1936 2.5954
La 2.1936 0.0000 8.2565
Al 0.0000 2.1936 9.4695
Al 2.1936 0.0000 1.3823
Al 2.1936 2.1936 5.4259
Zn 0.0000 0.0000 0.0000
Zn 0.0000 2.1936 6.9698
Zn 2.1936 0.0000 3.8821
Zn 2.1936 2.1936 0.0000
Cd 0.0000 0.0000 5.4259

***

9
Lattice="7.9513 0.0000 0.0000 -3.9756 6.8860 0.0000 0.0000 0.0000 2.8395" Properties=species:S:1:pos:R:3 comment="PBE Li6AlCd2, optimized geometry" e_above_lowest_polymorph_kj_per_mol_fu=0 spacegroup="P6/mmm (191)" pbc="T T T"
Li -1.3026 2.2562 0.0000
Li -2.6730 4.6298 0.0000
Li 2.6052 0.0000 0.0000
Li 1.3026 2.2562 0.0000
Li 5.3460 0.0000 0.0000
Li 2.6730 4.6298 0.0000
Al 0.0000 0.0000 1.4197
Cd 0.0000 4.5907 1.4197
Cd 3.9756 2.2953 1.4197

***

10
Lattice="7.9236 0.0000 0.0000 0.0000 7.9236 0.0000 0.0000 0.0000 3.3302" Properties=species:S:1:pos:R:3 comment="PBE LiAl2Cd2, optimized geometry" e_above_lowest_polymorph_kj_per_mol_fu=23 spacegroup="P4/mbm (127)" pbc="T T T"
Li 0.0000 0.0000 0.0000
Li 3.9618 3.9618 0.0000
Al 0.9392 3.0226 0.0000
Al 3.0226 6.9844 0.0000
Al 4.9011 0.9392 0.0000
Al 6.9844 4.9011 0.0000
Cd 1.4520 5.4138 1.6651
Cd 2.5098 1.4520 1.6651
Cd 5.4138 6.4717 1.6651
Cd 6.4717 2.5098 1.6651

***

30
Lattice="5.4447 0.0000 0.0000 0.0000 5.4447 0.0000 0.0000 0.0000 19.9134" Properties=species:S:1:pos:R:3 comment="PBE Li12AlCd2, optimized geometry" spacegroup="P4/nbm (125)" pbc="T T T"
Li 0.0041 2.7265 2.0403
Li 0.0041 5.4406 17.8731
Li 0.3859 3.1082 8.7223
Li 0.3859 5.0588 11.1911
Li 1.3612 1.3612 4.2907
Li 1.3612 1.3612 6.7914
Li 1.3612 1.3612 13.1220
Li 1.3612 1.3612 15.6227
Li 2.3364 3.1082 11.1911
Li 2.3364 5.0588 8.7223
Li 2.7182 2.7265 17.8731
Li 2.7182 5.4406 2.0403
Li 2.7265 0.0041 17.8731
Li 2.7265 2.7182 2.0403
Li 3.1082 0.3859 11.1911
Li 3.1082 2.3364 8.7223
Li 4.0835 4.0835 4.2907
Li 4.0835 4.0835 6.7914
Li 4.0835 4.0835 13.1220
Li 4.0835 4.0835 15.6227
Li 5.0588 0.3859 8.7223
Li 5.0588 2.3364 11.1911
Li 5.4406 0.0041 2.0403
Li 5.4406 2.7182 17.8731
Al 1.3612 4.0835 0.0000
Al 4.0835 1.3612 0.0000
Cd 1.3612 4.0835 5.7140
Cd 1.3612 4.0835 14.1994
Cd 4.0835 1.3612 5.7140
Cd 4.0835 1.3612 14.1994

***

Number 1: formation energy from the elements 609 meV per atom. Number 2: formation energy from the elements 940 meV per atom. Number 3: formation energy from the elements -332 meV per atom. Number 4: formation energy from the elements -362 meV per atom. Number 5: formation energy from the elements -218 meV per atom. Number 6: formation energy from the elements -364 meV per atom. Number 7: formation energy from the elements 1462 meV per atom. Number 8: formation energy from the elements -259 meV per atom. Number 9: formation energy from the elements -392 meV per atom. Number 10: formation energy from the elements -182 meV per atom. Number 11: formation energy from the elements 82 meV per atom. Number 12: formation energy from the elements 71 meV per atom.